Entry 1:
Here is a relaxed Cd3PtAu2 crystal from the Alexandria database. Energies are from PBE-GGA.

Unit cell a=4.4376 b=7.0545 c=7.5965 alpha=90.00 beta=90.00 gamma=71.67
Last column: nearest neighbours and their distance in Å.
Fractional positions:
Cd 0.8301 0.3398 0.7588  3 Pt 2.88, 5 Au 2.92-3.01, 4 Cd 3.09-3.18
Cd 0.5000 0.0000 0.2469  2 Pt 2.89, 6 Au 2.91-2.94, 4 Cd 3.18
Cd 0.1699 0.6602 0.2412  3 Pt 2.88, 5 Au 2.92-3.01, 4 Cd 3.09-3.18
Cd 0.8301 0.3398 0.2412  3 Pt 2.88, 5 Au 2.92-3.01, 4 Cd 3.09-3.18
Cd 0.1699 0.6602 0.7588  3 Pt 2.88, 5 Au 2.92-3.01, 4 Cd 3.09-3.18
Cd 0.5000 0.0000 0.7531  2 Pt 2.89, 6 Au 2.91-2.94, 4 Cd 3.18
Pt 0.3362 0.3275 0.0000  8 Cd 2.88-2.89, 2 Au 3.12, 2 Pt 3.20
Pt 0.6638 0.6725 0.0000  8 Cd 2.88-2.89, 2 Au 3.12, 2 Pt 3.20
Au 0.0000 0.0000 0.0000  8 Cd 2.91-2.92, 4 Pt 3.12
Au 0.0000 0.0000 0.5000  8 Cd 2.94-3.01, 4 Au 3.14
Au 0.3341 0.3317 0.5000  8 Cd 2.94-2.97, 4 Au 3.14-3.16
Au 0.6659 0.6683 0.5000  8 Cd 2.94-2.97, 4 Au 3.14-3.16

***

Entry 2:
Here is a relaxed CrIn2Os2 crystal from the Alexandria database. Energies are from PBE-GGA.

Unit cell a=3.5364 b=3.5364 c=8.5678 alpha=78.09 beta=78.09 gamma=90.00
Last column: nearest neighbours and their distance in Å.
Fractional positions:
Cr 0.0000 0.0000 0.0000  8 In 3.05
Os 0.7500 0.2500 0.5000  4 Os 2.50
Os 0.2500 0.7500 0.5000  4 Os 2.50
In 0.3930 0.3930 0.2140  4 Os 2.94, 4 Cr 3.05
In 0.6070 0.6070 0.7860  4 Os 2.94, 4 Cr 3.05

***

Polymorph energy (0 for the lowest one) list, top to bottom, in meV per atom: 4 0
E_tot list, top to bottom, in eV/atom: -2.7655 -6.6890
ΔE_f list, top to bottom, in eV per atom: -0.209 0.823